Here is ErNpCo2O8 after structural relaxation from Alexandria. Energies are from PBE with a Hubbard U.

Lattice parameters (Å, degrees): 6.8726 6.8726 6.6445 90.00 90.00 90.00
Space group I-4m2 (No. 119)
Unique sites:
Er: 0.0000 0.0000 0.0000 x2
Np: 0.0000 0.5000 0.2500 x2
Co: 0.0000 0.0000 0.5000 x2
Co: 0.0000 0.5000 0.7500 x2
O: 0.0000 0.2099 0.3044 x8
O: 0.0000 0.3147 0.9366 x8

- VASP energy: -90.64 eV per formula unit
- Magnetic moment: 0.668 μB/atom